1.
## SmEr2Th3S6 (PBE)

Data for crystalline SmEr2Th3S6 at its relaxed geometry.

Space group: C2/m (12)
Total energy: -83.6 eV/cell
Total magnetic moment: 0.00 Bohr magnetons per cell

```
data_SmEr2Th3S6
_chemical_formula_sum 'Sm1 Er2 Th3 S6'
_symmetry_space_group_name_H-M 'P 1'
_symmetry_Int_Tables_number 1
_cell_length_a 6.756
_cell_length_b 6.756
_cell_length_c 7.100
_cell_angle_alpha 99.10
_cell_angle_beta 99.10
_cell_angle_gamma 119.69
loop_
_symmetry_equiv_pos_as_xyz
'x,y,z'
loop_
_atom_site_label
_atom_site_type_symbol
_atom_site_fract_x
_atom_site_fract_y
_atom_site_fract_z
_atom_site_occupancy
S1 S 0.264 0.264 0.769 1
Er1 Er 0.333 0.667 0.000 1
S2 S 0.736 0.736 0.231 1
S3 S 0.078 0.420 0.235 1
Th1 Th 0.163 0.837 0.500 1
Er2 Er 0.667 0.333 0.000 1
S4 S 0.420 0.078 0.235 1
Th2 Th 0.500 0.500 0.500 1
Sm1 Sm 0.000 0.000 0.000 1
Th3 Th 0.837 0.163 0.500 1
S5 S 0.922 0.580 0.765 1
S6 S 0.580 0.922 0.765 1
```


2.
## Ta4AlIr (PBE)

Data for crystalline Ta4AlIr at its relaxed geometry.

Space group: F-43m (216)
Total energy: -58.5 eV/cell
Total magnetic moment: 0.00 Bohr magnetons per cell

```
data_Ta4AlIr
_chemical_formula_sum 'Ta4 Al1 Ir1'
_symmetry_space_group_name_H-M 'P 1'
_symmetry_Int_Tables_number 1
_cell_length_a 5.352
_cell_length_b 5.352
_cell_length_c 5.352
_cell_angle_alpha 60.00
_cell_angle_beta 60.00
_cell_angle_gamma 60.00
loop_
_symmetry_equiv_pos_as_xyz
'x,y,z'
loop_
_atom_site_label
_atom_site_type_symbol
_atom_site_fract_x
_atom_site_fract_y
_atom_site_fract_z
_atom_site_occupancy
Ta1 Ta 0.376 0.376 0.872 1
Al1 Al 0.750 0.750 0.750 1
Ta2 Ta 0.376 0.376 0.376 1
Ta3 Ta 0.872 0.376 0.376 1
Ir1 Ir 0.000 0.000 0.000 1
Ta4 Ta 0.376 0.872 0.376 1
```


3.
## AsP2Br (PBE)

Data for crystalline AsP2Br at its relaxed geometry.

Space group: Pm (6)
Total energy: -16.3 eV/cell
Total magnetic moment: 0.00 Bohr magnetons per cell

```
data_AsP2Br
_chemical_formula_sum 'As1 P2 Br1'
_symmetry_space_group_name_H-M 'P 1'
_symmetry_Int_Tables_number 1
_cell_length_a 4.539
_cell_length_b 3.724
_cell_length_c 6.360
_cell_angle_alpha 68.86
_cell_angle_beta 90.00
_cell_angle_gamma 90.00
loop_
_symmetry_equiv_pos_as_xyz
'x,y,z'
loop_
_atom_site_label
_atom_site_type_symbol
_atom_site_fract_x
_atom_site_fract_y
_atom_site_fract_z
_atom_site_occupancy
Br1 Br 0.500 0.739 0.828 1
P1 P 0.500 0.265 0.176 1
As1 As 0.000 0.419 0.376 1
P2 P 0.000 0.076 0.120 1
```


4.
## MgPdRh (PBE)

Data for crystalline MgPdRh at its relaxed geometry.

Space group: R-3m (166)
Total energy: -28.5 eV/cell
Total magnetic moment: 0.00 Bohr magnetons per cell

```
data_MgPdRh
_chemical_formula_sum 'Mg2 Pd2 Rh2'
_symmetry_space_group_name_H-M 'P 1'
_symmetry_Int_Tables_number 1
_cell_length_a 4.330
_cell_length_b 4.330
_cell_length_c 6.628
_cell_angle_alpha 70.93
_cell_angle_beta 70.93
_cell_angle_gamma 60.00
loop_
_symmetry_equiv_pos_as_xyz
'x,y,z'
loop_
_atom_site_label
_atom_site_type_symbol
_atom_site_fract_x
_atom_site_fract_y
_atom_site_fract_z
_atom_site_occupancy
Pd1 Pd 0.134 0.134 0.597 1
Mg1 Mg 0.423 0.423 0.732 1
Rh1 Rh 0.285 0.285 0.146 1
Pd2 Pd 0.866 0.866 0.403 1
Mg2 Mg 0.577 0.577 0.268 1
Rh2 Rh 0.715 0.715 0.854 1
```


5.
## Hg2TeBr (PBE)

Data for crystalline Hg2TeBr at its relaxed geometry.

Space group: P4/mmm (123)
Total energy: -5.2 eV/cell
Total magnetic moment: 0.00 Bohr magnetons per cell

```
data_Hg2TeBr
_chemical_formula_sum 'Hg2 Te1 Br1'
_symmetry_space_group_name_H-M 'P 1'
_symmetry_Int_Tables_number 1
_cell_length_a 5.428
_cell_length_b 5.428
_cell_length_c 3.696
_cell_angle_alpha 90.00
_cell_angle_beta 90.00
_cell_angle_gamma 90.03
loop_
_symmetry_equiv_pos_as_xyz
'x,y,z'
loop_
_atom_site_label
_atom_site_type_symbol
_atom_site_fract_x
_atom_site_fract_y
_atom_site_fract_z
_atom_site_occupancy
Br1 Br 0.000 0.500 0.500 1
Te1 Te 0.500 0.000 0.500 1
Hg1 Hg 0.000 0.000 0.000 1
Hg2 Hg 0.500 0.500 0.000 1
```


6.
## HoLuP (PBE)

Data for crystalline HoLuP at its relaxed geometry.

Space group: P3m1 (156)
Total energy: -17.4 eV/cell
Total magnetic moment: 0.04 Bohr magnetons per cell

```
data_HoLuP
_chemical_formula_sum 'Ho1 Lu1 P1'
_symmetry_space_group_name_H-M 'P 1'
_symmetry_Int_Tables_number 1
_cell_length_a 3.843
_cell_length_b 3.843
_cell_length_c 6.222
_cell_angle_alpha 90.00
_cell_angle_beta 90.00
_cell_angle_gamma 120.00
loop_
_symmetry_equiv_pos_as_xyz
'x,y,z'
loop_
_atom_site_label
_atom_site_type_symbol
_atom_site_fract_x
_atom_site_fract_y
_atom_site_fract_z
_atom_site_occupancy
P1 P 0.667 0.333 0.336 1
Lu1 Lu 0.333 0.667 0.584 1
Ho1 Ho 0.000 0.000 0.080 1
```


7.
## Rb2YS (PBE)

Data for crystalline Rb2YS at its relaxed geometry.

Space group: I-42d (122)
Total energy: -28.7 eV/cell
Total magnetic moment: 0.01 Bohr magnetons per cell

```
data_Rb2YS
_chemical_formula_sum 'Rb4 Y2 S2'
_symmetry_space_group_name_H-M 'P 1'
_symmetry_Int_Tables_number 1
_cell_length_a 13.184
_cell_length_b 13.184
_cell_length_c 9.678
_cell_angle_alpha 47.07
_cell_angle_beta 47.07
_cell_angle_gamma 90.00
loop_
_symmetry_equiv_pos_as_xyz
'x,y,z'
loop_
_atom_site_label
_atom_site_type_symbol
_atom_site_fract_x
_atom_site_fract_y
_atom_site_fract_z
_atom_site_occupancy
S1 S 0.500 0.500 0.000 1
Rb1 Rb 0.375 0.528 0.750 1
Y1 Y 0.750 0.250 0.500 1
S2 S 0.250 0.750 0.500 1
Rb2 Rb 0.472 0.125 0.250 1
Y2 Y 0.000 0.000 0.000 1
Rb3 Rb 0.875 0.722 0.750 1
Rb4 Rb 0.278 0.625 0.250 1
```


8.
## Nd2ThIn2Ag2 (PBE)

Data for crystalline Nd2ThIn2Ag2 at its relaxed geometry.

Space group: R-3m (166)
Total energy: -29.8 eV/cell
Total magnetic moment: 0.00 Bohr magnetons per cell

```
data_Nd2ThIn2Ag2
_chemical_formula_sum 'Nd2 Th1 In2 Ag2'
_symmetry_space_group_name_H-M 'P 1'
_symmetry_Int_Tables_number 1
_cell_length_a 4.905
_cell_length_b 4.905
_cell_length_c 9.645
_cell_angle_alpha 75.27
_cell_angle_beta 75.27
_cell_angle_gamma 60.00
loop_
_symmetry_equiv_pos_as_xyz
'x,y,z'
loop_
_atom_site_label
_atom_site_type_symbol
_atom_site_fract_x
_atom_site_fract_y
_atom_site_fract_z
_atom_site_occupancy
Nd1 Nd 0.873 0.873 0.380 1
Ag1 Ag 0.605 0.605 0.186 1
Nd2 Nd 0.127 0.127 0.620 1
In1 In 0.263 0.263 0.210 1
Th1 Th 0.000 0.000 0.000 1
Ag2 Ag 0.395 0.395 0.814 1
In2 In 0.737 0.737 0.790 1
```


9.
## BPRhAu (PBE)

Data for crystalline BPRhAu at its relaxed geometry.

Space group: P1 (1)
Total energy: -22.7 eV/cell
Total magnetic moment: 0.00 Bohr magnetons per cell

```
data_BPRhAu
_chemical_formula_sum 'B1 P1 Rh1 Au1'
_symmetry_space_group_name_H-M 'P 1'
_symmetry_Int_Tables_number 1
_cell_length_a 3.336
_cell_length_b 4.368
_cell_length_c 4.491
_cell_angle_alpha 106.72
_cell_angle_beta 104.58
_cell_angle_gamma 103.38
loop_
_symmetry_equiv_pos_as_xyz
'x,y,z'
loop_
_atom_site_label
_atom_site_type_symbol
_atom_site_fract_x
_atom_site_fract_y
_atom_site_fract_z
_atom_site_occupancy
Rh1 Rh 0.805 0.161 0.360 1
P1 P 0.027 0.764 0.565 1
B1 B 0.651 0.983 0.799 1
Au1 Au 0.794 0.539 0.964 1
```


10.
## LiPmTl2Cl6 (PBE)

Data for crystalline LiPmTl2Cl6 at its relaxed geometry.

Space group: P2_1/c (14)
Total energy: -78.7 eV/cell
Total magnetic moment: 0.00 Bohr magnetons per cell

```
data_LiPmTl2Cl6
_chemical_formula_sum 'Li2 Pm2 Tl4 Cl12'
_symmetry_space_group_name_H-M 'P 1'
_symmetry_Int_Tables_number 1
_cell_length_a 7.328
_cell_length_b 7.522
_cell_length_c 10.422
_cell_angle_alpha 90.00
_cell_angle_beta 89.73
_cell_angle_gamma 90.00
loop_
_symmetry_equiv_pos_as_xyz
'x,y,z'
loop_
_atom_site_label
_atom_site_type_symbol
_atom_site_fract_x
_atom_site_fract_y
_atom_site_fract_z
_atom_site_occupancy
Cl1 Cl 0.298 0.710 0.038 1
Cl2 Cl 0.290 0.705 0.462 1
Cl3 Cl 0.798 0.790 0.538 1
Tl1 Tl 0.514 0.557 0.752 1
Pm1 Pm 0.000 0.500 0.000 1
Li1 Li 0.000 0.500 0.500 1
Cl4 Cl 0.575 0.015 0.244 1
Tl2 Tl 0.014 0.943 0.252 1
Cl5 Cl 0.202 0.210 0.462 1
Cl6 Cl 0.702 0.290 0.962 1
Cl7 Cl 0.790 0.795 0.962 1
Cl8 Cl 0.425 0.985 0.756 1
Cl9 Cl 0.710 0.295 0.538 1
Li2 Li 0.500 0.000 0.000 1
Cl10 Cl 0.925 0.515 0.256 1
Tl3 Tl 0.486 0.443 0.248 1
Tl4 Tl 0.986 0.057 0.748 1
Cl11 Cl 0.210 0.205 0.038 1
Pm2 Pm 0.500 0.000 0.500 1
Cl12 Cl 0.075 0.485 0.744 1
```